A plane-wave DFT calculation with PBE was carried out for a geometry-optimized Hf2TlTePt structure.

The calculation puts the total energy at -25.5 eV per cell. The space group is P4/mmm (123). Its density of states at the Fermi level is 8.15 states/eV/f.u. As for the crystal system: tetragonal.

Cell: 5.197 5.197 5.508 Å, 90.00 90.00 90.00°
Fractional positions:
Hf 0.000 0.500 0.000
Hf 0.500 0.000 0.000
Tl 0.000 0.000 0.500
Te 0.000 0.000 0.000
Pt 0.500 0.500 0.500